Below is a relaxed Rb2GaSb crystal, with properties calculated at the PBE-GGA level.

Cell: 5.184 5.184 12.672 Å, 78.20 78.20 90.00°
Last column: magnetic moment on the atom in μB.
Fractional coordinates of all 8 atoms:
1 Sb 0.750 0.250 0.500  -0.02
2 Sb 0.000 0.000 0.000  -0.02
3 Ga 0.250 0.750 0.500  0.05
4 Ga 0.500 0.500 0.000  0.05
5 Rb 0.875 0.865 0.750  0.01
6 Rb 0.375 0.385 0.750  0.01
7 Rb 0.615 0.125 0.250  0.01
8 Rb 0.135 0.625 0.250  0.01

Values from the calculation:
SG   I-42d
Crystal system   tetragonal
Polymorph energy (0 for the lowest one)   0.370 eV/atom
Mass density   3.693 g cm⁻³


Below is a relaxed Rb2Ga2Sb3 crystal, with properties calculated at the PBE-GGA level.

Cell: 4.668 10.207 11.353 Å, 75.80 78.14 76.78°
Fractional coordinates of all 14 atoms:
1 Sb 0.063 0.002 0.873
2 Sb 0.413 0.741 0.432
3 Sb 0.140 0.491 0.229
4 Sb 0.937 0.998 0.127
5 Sb 0.587 0.259 0.568
6 Sb 0.860 0.509 0.771
7 Rb 0.623 0.726 0.029
8 Rb 0.377 0.274 0.971
9 Rb 0.262 0.127 0.349
10 Rb 0.738 0.873 0.651
11 Ga 0.419 0.526 0.635
12 Ga 0.982 0.746 0.291
13 Ga 0.581 0.474 0.365
14 Ga 0.018 0.254 0.709

Values from the calculation:
SG   C2/m
Crystal system   monoclinic
Polymorph energy (0 for the lowest one)   0.000 eV/atom
Mass density   4.452 g cm⁻³


Below is a relaxed RbGaSb3 crystal, with properties calculated at the PBE-GGA level.

Cell: 5.530 5.530 5.530 Å, 90.00 90.00 90.00°
Fractional coordinates of all 5 atoms:
1 Ga 0.000 0.000 0.000
2 Sb 0.500 0.000 0.000
3 Sb 0.000 0.500 0.000
4 Sb 0.000 0.000 0.500
5 Rb 0.500 0.500 0.500

Values from the calculation:
SG   Pm-3m
Crystal system   cubic
Polymorph energy (0 for the lowest one)   0.352 eV/atom
Mass density   5.110 g cm⁻³


| no. | formation energy without anion corrections (meV/atom) |
| --- | --- |
| 1 | 225 |
| 2 | -292 |
| 3 | 201 |